[1]
A plane-wave DFT calculation with GGA-PBE was carried out for a relaxed structure of LaTe2AsC.

Lattice parameters (Å, degrees): 6.155 6.155 5.813 90.00 90.00 90.00
Element x y z (fractional)
La 0.000 0.000 0.000
Te 0.000 0.500 0.000
Te 0.500 0.000 0.000
As 0.000 0.000 0.500
C 0.500 0.500 0.500

Results
Formation energy without anion corrections, meV/atom: 1631
Magnetic moment, μB per formula unit: 1.89
Space-group type: P4/mmm

***

[2]
A plane-wave DFT calculation with GGA-PBE was carried out for a relaxed structure of LaVAs2C.

Lattice parameters (Å, degrees): 4.460 4.460 4.714 90.00 90.00 90.00
Element x y z (fractional)
La 0.000 0.000 0.000
V 0.500 0.500 0.000
As 0.000 0.500 0.500
As 0.500 0.000 0.500
C 0.000 0.000 0.500

Results
Energy of formation, eV/atom: 0.771
Magnetic moment, μB per formula unit: 0.26
Space-group type: P4/mmm

***

[3]
A plane-wave DFT calculation with GGA-PBE was carried out for a relaxed structure of LaZn2AsC.

Lattice parameters (Å, degrees): 5.912 5.912 4.210 90.00 90.00 90.00
Element x y z (fractional)
La 0.000 0.000 0.000
Zn 0.000 0.500 0.000
Zn 0.500 0.000 0.000
As 0.500 0.500 0.500
C 0.000 0.000 0.500

Results
Energy of formation, eV/atom: 1.452
Magnetic moment, μB per formula unit: 0.86
Space-group type: P4/mmm

***

[4]
A plane-wave DFT calculation with GGA-PBE was carried out for a relaxed structure of Li3AsC.

Lattice parameters (Å, degrees): 4.050 4.050 4.050 90.00 90.00 90.00
Element x y z (fractional)
Li 0.000 0.000 0.500
Li 0.000 0.500 0.000
Li 0.500 0.000 0.000
As 0.500 0.500 0.500
C 0.000 0.000 0.000

Results
Energy of formation, eV/atom: 0.420
Magnetic moment, μB per formula unit: 0.00
Space-group type: Pm-3m

***

> The lowest magnetic moment belongs to which entry?

Li3AsC